Entry 1:
Density functional theory data (PBE-GGA) for a relaxed Ac3Mg6Ag5 crystal.

Output
V	25.4	Å³ per atom
total energy	-2.80	eV/atom
calculated density	6.37	Mg/m³
total magnetic moment	0.000	μB/cell
E_form	-0.22	eV per atom

a = 4.6913 Å, b = 14.2690 Å, c = 10.6358 Å
α = 90.00°, β = 90.00°, γ = 90.00°
Closest atoms and distances in Å follow each position.
Space group Pmmn (No. 59, origin choice 2)
One atom of each set of equivalent atoms:
Ac 0.2500 0.0515 0.2426  6 Ag 3.34-3.69, 8 Mg 3.41-3.60
Ac 0.2500 0.7500 0.2775  6 Ag 3.38-3.50, 2 Mg 3.73
Mg 0.2500 0.0697 0.5766  4 Ag 2.88-3.01, 1 Mg 3.05
Mg 0.2500 0.2500 0.0342  4 Ag 2.87-3.00, 4 Mg 3.16
Mg 0.2500 0.2500 0.4217  4 Ag 2.88, 2 Mg 3.05
Mg 0.2500 0.6024 0.9883  4 Ag 2.87-3.18, 2 Mg 3.16
Ag 0.2500 0.0980 0.8569  5 Mg 2.87-3.18
Ag 0.2500 0.6346 0.5549  5 Mg 2.88-2.92, 1 Ag 2.99
Ag 0.2500 0.7500 0.7897  6 Mg 2.98-3.25, 2 Ag 2.99

***

Entry 2:
Density functional theory data (PBE-GGA) for a relaxed Ac2MgAg3 crystal.

Output
V	30.4	Å³ per atom
total energy	-3.14	eV/atom
calculated density	7.30	Mg/m³
total magnetic moment	0.000	μB/cell
E_form	-0.07	eV per atom
E above lowest polymorph	150.6	meV/atom

a = 3.9224 Å, b = 5.3513 Å, c = 17.3713 Å
α = 90.00°, β = 90.00°, γ = 90.00°
Closest atoms and distances in Å follow each position.
Space group Immm (No. 71)
One atom of each set of equivalent atoms:
Ac 0.0000 0.0000 0.1530  7 Ag 3.27-3.32
Mg 0.0000 0.0000 0.5000  4 Ag 2.68-2.76
Ag 0.0000 0.0000 0.3410  1 Mg 2.76
Ag 0.0000 0.5000 0.5000  2 Mg 2.68

***

Entry 3:
Density functional theory data (PBE-GGA) for a relaxed Ac2MgAg2 crystal.

Output
V	30.5	Å³ per atom
total energy	-3.35	eV/atom
calculated density	7.55	Mg/m³
total magnetic moment	0.000	μB/cell
E_form	-0.25	eV per atom
E above lowest polymorph	0.0	meV/atom

a = 8.3297 Å, b = 8.3297 Å, c = 4.4030 Å
α = 90.00°, β = 90.00°, γ = 90.00°
Closest atoms and distances in Å follow each position.
Space group P4/mbm (No. 127)
One atom of each set of equivalent atoms:
Ac 0.1743 0.3257 0.0000  6 Ag 3.22-3.35
Mg 0.0000 0.0000 0.5000  4 Ag 3.29
Ag 0.1257 0.6257 0.5000  1 Ag 2.96, 2 Ac 3.22, 2 Mg 3.29

***

Entry 4:
Density functional theory data (PBE-GGA) for a relaxed Ac3Mg5Ag2 crystal.

Output
V	28.9	Å³ per atom
total energy	-2.78	eV/atom
calculated density	5.85	Mg/m³
total magnetic moment	0.001	μB/cell
E_form	-0.18	eV per atom

a = 11.3077 Å, b = 11.3077 Å, c = 4.5174 Å
α = 90.00°, β = 90.00°, γ = 90.00°
Closest atoms and distances in Å follow each position.
Space group P4/mbm (No. 127)
One atom of each set of equivalent atoms:
Ac 0.0000 0.0000 0.0000  8 Mg 3.52
Ac 0.1818 0.3182 0.0000  3 Ag 3.30-3.41, 2 Mg 3.68
Mg 0.0000 0.5000 0.5000  4 Ag 2.88, 4 Mg 3.13
Mg 0.0620 0.7698 0.5000  2 Ag 2.94, 1 Mg 3.13
Ag 0.1116 0.6116 0.0000  6 Mg 2.88-2.94

***

Entry 5:
Density functional theory data (PBE-GGA) for a relaxed AcMgAg3 crystal.

Output
V	24.5	Å³ per atom
total energy	-3.09	eV/atom
calculated density	7.79	Mg/m³
total magnetic moment	0.000	μB/cell
E_form	-0.24	eV per atom
E above lowest polymorph	0.0	meV/atom

a = 12.9789 Å, b = 6.1469 Å, c = 6.1479 Å
α = 90.00°, β = 90.00°, γ = 90.00°
Closest atoms and distances in Å follow each position.
Space group Pnna (No. 52)
One atom of each set of equivalent atoms:
Ac 0.2500 0.0000 0.9996  8 Ag 3.38-3.39
Mg 0.9999 0.2500 0.2500  8 Ag 2.84-3.07
Ag 0.0006 0.2500 0.7500  4 Ag 2.84, 4 Mg 3.07
Ag 0.1413 0.5005 0.0009  3 Ag 2.82-2.84, 2 Mg 2.84

***

Entry 6:
Density functional theory data (PBE-GGA) for a relaxed AcMg4Ag4 crystal.

Output
V	23.4	Å³ per atom
total energy	-2.59	eV/atom
calculated density	5.96	Mg/m³
total magnetic moment	0.000	μB/cell
E_form	-0.16	eV per atom

a = 6.7316 Å, b = 6.7316 Å, c = 9.2853 Å
α = 90.00°, β = 90.00°, γ = 90.00°
Closest atoms and distances in Å follow each position.
Space group P4_2/nmc (No. 137, origin choice 2)
One atom of each set of equivalent atoms:
Ac 0.2500 0.7500 0.2500  4 Ag 3.47, 8 Mg 3.86
Mg 0.0123 0.2500 0.1431  5 Ag 2.77-2.82
Ag 0.0435 0.2500 0.4432  5 Mg 2.77-2.82, 1 Ag 2.78

***

> What is the formula in the first record?

Ac3Mg6Ag5

***

> Which of these has the highest E_form?

Ac2MgAg3

***

Repeat the first record exactly.
Density functional theory data (PBE-GGA) for a relaxed Ac3Mg6Ag5 crystal.

Output
V	25.4	Å³ per atom
total energy	-2.80	eV/atom
calculated density	6.37	Mg/m³
total magnetic moment	0.000	μB/cell
E_form	-0.22	eV per atom

a = 4.6913 Å, b = 14.2690 Å, c = 10.6358 Å
α = 90.00°, β = 90.00°, γ = 90.00°
Closest atoms and distances in Å follow each position.
Space group Pmmn (No. 59, origin choice 2)
One atom of each set of equivalent atoms:
Ac 0.2500 0.0515 0.2426  6 Ag 3.34-3.69, 8 Mg 3.41-3.60
Ac 0.2500 0.7500 0.2775  6 Ag 3.38-3.50, 2 Mg 3.73
Mg 0.2500 0.0697 0.5766  4 Ag 2.88-3.01, 1 Mg 3.05
Mg 0.2500 0.2500 0.0342  4 Ag 2.87-3.00, 4 Mg 3.16
Mg 0.2500 0.2500 0.4217  4 Ag 2.88, 2 Mg 3.05
Mg 0.2500 0.6024 0.9883  4 Ag 2.87-3.18, 2 Mg 3.16
Ag 0.2500 0.0980 0.8569  5 Mg 2.87-3.18
Ag 0.2500 0.6346 0.5549  5 Mg 2.88-2.92, 1 Ag 2.99
Ag 0.2500 0.7500 0.7897  6 Mg 2.98-3.25, 2 Ag 2.99